# 1
4
Lattice="-1.804 2.214 8.944 1.804 -2.214 8.944 1.804 2.214 -8.944" Properties=species:S:1:pos:R:3 comment="PBE Sr2YRh, relaxed" formation_enthalpy_0k_ev_per_atom=-0.208 space_group="No. 71" pbc="T T T"
Sr 0.000 0.000 2.798
Sr 0.000 0.000 15.089
Y 0.000 2.214 0.000
Rh 1.804 0.000 0.000



# 2
4
Lattice="0.000 3.857 3.857 3.857 0.000 3.857 3.857 3.857 0.000" Properties=species:S:1:pos:R:3 comment="PBE Sr2YRh, relaxed" formation_enthalpy_0k_ev_per_atom=0.174 space_group="No. 216" pbc="T T T"
Sr 0.000 0.000 0.000
Sr 1.928 1.928 1.928
Y 5.785 5.785 5.785
Rh 3.857 3.857 3.857



# 3
12
Lattice="2.663 1.538 8.735 -2.663 1.538 8.735 0.000 -3.075 8.735" Properties=species:S:1:pos:R:3 comment="PBE SrY2Rh9, relaxed" formation_enthalpy_0k_ev_per_atom=-0.441 space_group="No. 166" pbc="T T T"
Sr 0.000 0.000 0.000
Y 0.000 0.000 3.638
Y 0.000 0.000 22.566
Rh -1.333 -0.770 10.919
Rh 0.000 0.000 8.722
Rh 0.000 -1.539 15.285
Rh -1.333 0.770 15.285
Rh 0.000 0.000 13.102
Rh 1.333 -0.770 10.919
Rh 0.000 1.539 10.919
Rh 0.000 0.000 17.482
Rh 1.333 0.770 15.285



Number 1: energy -4.50 eV/atom. Number 2: energy -4.12 eV/atom. Number 3: energy -7.17 eV/atom.